Entry from Alexandria: a relaxed structure of LiYTa2 (PBE).

The structure in extended XYZ format:
```
4
Lattice="2.9984 0.0000 0.0000 0.0000 4.5179 0.0000 -1.4773 0.0000 6.1630" Properties=species:S:1:pos:R:3 pbc="T T T"
Li 0.0000 0.0000 0.0000
Y 0.0206 2.2589 4.6829
Ta -0.0081 2.2589 1.6378
Ta 1.4966 0.0000 2.6231
```

Crystal system: monoclinic
ρ (g cm⁻³): 9.1
Offset from the most stable computed form (meV/atom): 92.7
Calculated formation energy (eV/atom): 0.393

Entry from Alexandria: a relaxed structure of Li2YTa (PBE).

The structure in extended XYZ format:
```
8
Lattice="-3.8181 3.8181 2.7828 3.8181 -3.8181 2.7828 3.8181 3.8181 -2.7828" Properties=species:S:1:pos:R:3 pbc="T T T"
Li 5.7272 1.8277 -0.6957
Li 1.8277 1.9091 0.6957
Li -1.9091 1.9904 2.0871
Li 1.9904 1.9091 3.4785
Y 3.8181 0.0000 1.3914
Y 0.0000 0.0000 2.7828
Ta 0.0000 0.0000 0.0000
Ta 0.0000 3.8181 1.3914
```

Crystal system: tetragonal
ρ (g cm⁻³): 5.8
Offset from the most stable computed form (meV/atom): 513.3
Calculated formation energy (eV/atom): 0.812

Entry from Alexandria: a relaxed structure of LiYTa2 (PBE).

The structure in extended XYZ format:
```
4
Lattice="0.0000 3.4030 3.4030 3.4030 0.0000 3.4030 3.4030 3.4030 0.0000" Properties=species:S:1:pos:R:3 pbc="T T T"
Li 0.0000 0.0000 0.0000
Y 3.4030 3.4030 3.4030
Ta 1.7015 1.7015 1.7015
Ta 5.1046 5.1046 5.1046
```

Crystal system: cubic
ρ (g cm⁻³): 9.6
Offset from the most stable computed form (meV/atom): 590.6
Calculated formation energy (eV/atom): 0.891

Entry from Alexandria: a relaxed structure of LiTa2Zn (PBE).

The structure in extended XYZ format:
```
4
Lattice="5.0494 -1.4116 0.0000 5.0494 1.4116 0.0000 -0.9218 0.0000 4.7556" Properties=species:S:1:pos:R:3 pbc="T T T"
Li 0.0000 0.0000 0.0000
Ta 1.7710 0.0000 3.5460
Ta 7.4061 0.0000 1.2097
Zn 4.5885 0.0000 2.3778
```

Crystal system: monoclinic
ρ (g cm⁻³): 10.6
Calculated formation energy (eV/atom): 0.251

| no. | D(E_F) (states/eV per cell) | V (Å³ per cell) | VASP energy (eV per cell) |
| --- | --- | --- | --- |
| 1 | 3.44 | 83 | -30.5 |
| 2 | 8.35 | 162 | -37.8 |
| 3 | 4.14 | 79 | -28.5 |
| 4 | 3.78 | 68 | -25.9 |